i) {"formula": "LiPaZn4", "functional": "PBE", "state": "optimized geometry", "cell": [[-1.241, -2.500, -1.119], [-1.485, -1.116, 4.139], [-6.740, 3.941, -1.356]], "species": ["Li", "Zn", "Zn", "Zn", "Pa", "Zn"], "fractional_positions": [[0.500, 0.500, 0.500], [0.000, 0.500, 0.181], [0.000, 0.500, 0.819], [0.998, 0.000, 0.343], [0.500, 0.000, 0.000], [0.002, 0.000, 0.657]], "total_magnetization_mub_per_fu": 0.0, "spacegroup": "P2/m (10)", "density_g_cm3": 7.67}

---

ii) {"formula": "LiPaZn4", "functional": "PBE", "state": "optimized geometry", "cell": [[-2.512, 0.117, -4.684], [1.539, -3.241, -3.923], [-3.098, -4.067, -1.458]], "species": ["Zn", "Zn", "Zn", "Li", "Pa", "Zn"], "fractional_positions": [[0.125, 0.625, 0.625], [0.625, 0.125, 0.625], [0.625, 0.625, 0.125], [0.250, 0.250, 0.250], [0.000, 0.000, 0.000], [0.625, 0.625, 0.625]], "total_magnetization_mub_per_fu": 0.0, "spacegroup": "F-43m (216)", "density_g_cm3": 7.81}

---

What should be chosen as the most stable of them? Choose i).

---

i) {"formula": "Li3Pb", "functional": "PBE", "state": "optimized geometry", "cell": [[-3.565, -2.226, -3.877], [3.840, -4.198, -0.575], [-2.222, -2.511, 3.485]], "species": ["Li", "Pb", "Li", "Li", "Pb", "Li", "Li", "Li"], "fractional_positions": [[0.789, 0.576, 0.250], [0.716, 0.284, 0.750], [0.424, 0.211, 0.250], [0.092, 0.908, 0.750], [0.284, 0.716, 0.250], [0.211, 0.424, 0.750], [0.576, 0.789, 0.750], [0.908, 0.092, 0.250]], "total_magnetization_mub_per_fu": 0.0, "spacegroup": "Cmcm (63)", "density_g_cm3": 4.80}

---

ii) {"formula": "Li3Pb", "functional": "PBE", "state": "optimized geometry", "cell": [[-2.600, -3.671, -1.630], [2.706, -1.537, -0.855], [0.944, -2.698, 4.571]], "species": ["Li", "Li", "Li", "Pb"], "fractional_positions": [[0.500, 0.750, 0.750], [0.000, 0.981, 0.010], [0.000, 0.519, 0.490], [0.500, 0.250, 0.250]], "total_magnetization_mub_per_fu": 0.0, "spacegroup": "P2/m (10)", "density_g_cm3": 4.61}

---

iii) {"formula": "Li3Pb", "functional": "PBE", "state": "optimized geometry", "cell": [[-1.763, 2.168, -2.483], [-1.962, -3.782, -1.909], [-1.490, 1.180, 4.903]], "species": ["Li", "Li", "Li", "Pb"], "fractional_positions": [[0.759, 0.176, 0.519], [0.241, 0.658, 0.481], [0.500, 0.417, 0.000], [0.000, 0.917, 0.000]], "total_magnetization_mub_per_fu": 0.0, "spacegroup": "Immm (71)", "density_g_cm3": 5.02}

---

What should be chosen as the most stable of them? Choose iii).

---

i) {"formula": "Li3Pb", "functional": "PBE", "state": "optimized geometry", "cell": [[5.465, 0.000, 0.000], [0.000, 5.465, 0.000], [0.000, 0.000, 5.465]], "species": ["Li", "Pb", "Li", "Li"], "fractional_positions": [[0.500, 0.000, 0.000], [0.000, 0.000, 0.000], [0.000, 0.500, 0.000], [0.000, 0.000, 0.500]], "total_magnetization_mub_per_fu": 1.0, "spacegroup": "Pm-3m (221)", "density_g_cm3": 2.32}

---

ii) {"formula": "Li3Pb", "functional": "PBE", "state": "optimized geometry", "cell": [[-3.033, 0.885, -3.517], [-1.809, -3.570, -2.516], [-4.562, -1.148, 0.468]], "species": ["Pb", "Li", "Li", "Li"], "fractional_positions": [[0.000, 0.000, 0.000], [0.250, 0.250, 0.250], [0.500, 0.500, 0.500], [0.750, 0.750, 0.750]], "total_magnetization_mub_per_fu": 0.0, "spacegroup": "Fm-3m (225)", "density_g_cm3": 5.07}

---

What should be chosen as the most stable of them? Choose ii).

---

i) {"formula": "Li3Pb", "functional": "PBE", "state": "optimized geometry", "cell": [[3.228, 0.000, 0.000], [0.000, 4.314, 0.000], [0.000, 0.000, 6.003]], "species": ["Li", "Li", "Li", "Pb"], "fractional_positions": [[0.500, 0.500, 0.763], [0.000, 0.000, 0.500], [0.500, 0.500, 0.237], [0.000, 0.000, 0.000]], "total_magnetization_mub_per_fu": 0.0, "spacegroup": "Pmmm (47)", "density_g_cm3": 4.53}

---

ii) {"formula": "Li3Pb", "functional": "PBE", "state": "optimized geometry", "cell": [[-2.494, -5.372, 1.484], [3.921, 0.361, -4.667], [3.661, -0.869, 3.008]], "species": ["Li", "Pb", "Li", "Li", "Li", "Li", "Pb", "Li"], "fractional_positions": [[0.344, 0.172, 0.250], [0.333, 0.667, 0.250], [0.172, 0.344, 0.750], [0.656, 0.828, 0.750], [0.172, 0.828, 0.750], [0.828, 0.172, 0.250], [0.667, 0.333, 0.750], [0.828, 0.656, 0.250]], "total_magnetization_mub_per_fu": 0.0, "spacegroup": "P6_3/mmc (194)", "density_g_cm3": 4.87}

---

What should be chosen as the most stable of them? Choose ii).

---

i) {"formula": "Li3Pb", "functional": "PBE", "state": "optimized geometry", "cell": [[5.674, 0.000, 0.000], [0.000, 6.372, 0.000], [0.000, 0.000, 9.376]], "species": ["Li", "Li", "Li", "Li", "Li", "Pb", "Li", "Li", "Li", "Pb", "Pb", "Li", "Li", "Li", "Pb", "Li"], "fractional_positions": [[0.343, 0.819, 0.019], [0.157, 0.319, 0.481], [0.343, 0.819, 0.481], [0.657, 0.181, 0.981], [0.893, 0.020, 0.250], [0.107, 0.606, 0.250], [0.843, 0.681, 0.981], [0.107, 0.980, 0.750], [0.843, 0.681, 0.519], [0.893, 0.394, 0.750], [0.607, 0.894, 0.750], [0.657, 0.181, 0.519], [0.393, 0.480, 0.750], [0.607, 0.520, 0.250], [0.393, 0.106, 0.250], [0.157, 0.319, 0.019]], "total_magnetization_mub_per_fu": 0.0, "spacegroup": "Pnma (62)", "density_g_cm3": 4.47}

---

ii) {"formula": "Li3Pb", "functional": "PBE", "state": "optimized geometry", "cell": [[-1.387, -2.883, -1.528], [0.612, -1.856, 2.958], [-5.917, 1.649, 2.259]], "species": ["Li", "Li", "Pb", "Li"], "fractional_positions": [[0.000, 0.000, 0.497], [0.500, 0.500, 0.750], [0.500, 0.500, 0.250], [0.000, 0.000, 0.003]], "total_magnetization_mub_per_fu": 0.0, "spacegroup": "P4/mmm (123)", "density_g_cm3": 4.60}

---

What should be chosen as the most stable of them? Choose i).

---

i) {"formula": "Li3Pb", "functional": "PBE", "state": "optimized geometry", "cell": [[4.619, 0.000, 0.000], [0.000, 3.649, 0.000], [0.000, 0.000, 4.622]], "species": ["Li", "Li", "Li", "Pb"], "fractional_positions": [[0.500, 0.500, 0.083], [0.000, 0.000, 0.083], [0.000, 0.500, 0.583], [0.500, 0.000, 0.583]], "total_magnetization_mub_per_fu": 0.1, "spacegroup": "P4/mmm (123)", "density_g_cm3": 4.86}

---

ii) {"formula": "Li3Pb", "functional": "PBE", "state": "optimized geometry", "cell": [[5.400, 0.000, 0.000], [-2.348, 4.863, 0.000], [-2.348, -3.741, 3.108]], "species": ["Li", "Li", "Pb", "Li"], "fractional_positions": [[0.500, 0.000, 0.500], [0.000, 0.500, 0.500], [0.500, 0.500, 0.000], [0.000, 0.000, 0.000]], "total_magnetization_mub_per_fu": 0.0, "spacegroup": "R-3m (166)", "density_g_cm3": 4.64}

---

What should be chosen as the most stable of them? Choose i).